Record 1
Entry from Alexandria via LeMat-Bulk: an optimized crystal structure of Cd3BiO (GGA-PBEsol).

a b c (Å): 4.6866 4.6866 4.6866
angles (deg): 90.00 90.00 90.00
With the nearest neighbours (Å) after each atom.
Atoms (fractional coordinates):
Cd 0.0000 0.0000 0.5000  2 O 2.34
Cd 0.0000 0.5000 0.0000  2 O 2.34
Cd 0.5000 0.0000 0.0000  2 O 2.34
Bi 0.5000 0.5000 0.5000  12 Cd 3.31
O 0.0000 0.0000 0.0000  6 Cd 2.34

Calculated values
Raw formation energy   -0.19 eV/atom
D(E_F)   1.26 states/eV/cell


Record 2
Entry from Alexandria via LeMat-Bulk: an optimized crystal structure of CdBi3O (GGA-PBEsol).

a b c (Å): 5.5488 5.5488 5.5488
angles (deg): 90.00 90.00 90.00
With the nearest neighbours (Å) after each atom.
Atoms (fractional coordinates):
Cd 0.0000 0.0000 0.0000  6 Bi 2.77
Bi 0.0000 0.0000 0.5000  2 Cd 2.77
Bi 0.0000 0.5000 0.0000  2 Cd 2.77
Bi 0.5000 0.0000 0.0000  2 Cd 2.77
O 0.5000 0.5000 0.5000  12 Bi 3.92

Calculated values
Raw formation energy   1.10 eV/atom
D(E_F)   4.73 states/eV/cell


Record 3
Entry from Alexandria via LeMat-Bulk: an optimized crystal structure of Cd3BiO (GGA-PBEsol).

a b c (Å): 5.7704 5.7704 5.7704
angles (deg): 90.00 90.00 90.00
With the nearest neighbours (Å) after each atom.
Atoms (fractional coordinates):
Cd 0.0000 0.0000 0.5000  2 Bi 2.89
Cd 0.0000 0.5000 0.0000  2 Bi 2.89
Cd 0.5000 0.0000 0.0000  2 Bi 2.89
Bi 0.0000 0.0000 0.0000  6 Cd 2.89
O 0.5000 0.5000 0.5000  12 Cd 4.08

Calculated values
Raw formation energy   0.88 eV/atom
D(E_F)   9.53 states/eV/cell


Record 4
Entry from Alexandria via LeMat-Bulk: an optimized crystal structure of CdTcBiOs2 (GGA-PBEsol).

a b c (Å): 4.8148 4.8148 4.7874
angles (deg): 90.00 90.00 90.00
With the nearest neighbours (Å) after each atom.
Atoms (fractional coordinates):
Cd 0.0000 0.0000 0.0000  2 Tc 2.39, 4 Os 2.41
Tc 0.0000 0.0000 0.5000  2 Cd 2.39
Bi 0.5000 0.5000 0.5000  8 Os 3.39, 4 Tc 3.40
Os 0.0000 0.5000 0.0000  2 Cd 2.41
Os 0.5000 0.0000 0.0000  2 Cd 2.41

Calculated values
Formation enthalpy at 0 K   258.1 kJ per mole of atoms
D(E_F)   6.82 states/eV/cell


Record 5
Entry from Alexandria via LeMat-Bulk: an optimized crystal structure of CdBi2P2 (GGA-PBEsol).

a b c (Å): 7.7347 7.7347 3.8545
angles (deg): 90.00 90.00 90.00
With the nearest neighbours (Å) after each atom.
Atoms (fractional coordinates):
Cd 0.0000 0.0000 0.0000  4 P 2.91
Cd 0.5000 0.5000 0.0000  4 P 2.91
Bi 0.1561 0.3439 0.5000  6 P 2.80-3.10
Bi 0.3439 0.8439 0.5000  6 P 2.80-3.10
Bi 0.6561 0.1561 0.5000  6 P 2.80-3.10
Bi 0.8439 0.6561 0.5000  6 P 2.80-3.10
P 0.1583 0.6583 0.0000  6 Bi 2.80-3.10, 2 Cd 2.91
P 0.3417 0.1583 0.0000  6 Bi 2.80-3.10, 2 Cd 2.91
P 0.6583 0.8417 0.0000  6 Bi 2.80-3.10, 2 Cd 2.91
P 0.8417 0.3417 0.0000  6 Bi 2.80-3.10, 2 Cd 2.91

Calculated values
Formation enthalpy at 0 K   25.0 kJ per mole of atoms
D(E_F)   5.56 states/eV/cell


Record 6
Entry from Alexandria via LeMat-Bulk: an optimized crystal structure of Cd3BiPd (GGA-PBEsol).

a b c (Å): 5.5474 5.5474 5.5474
angles (deg): 90.00 90.00 90.00
With the nearest neighbours (Å) after each atom.
Atoms (fractional coordinates):
Cd 0.0000 0.0000 0.5000  2 Bi 2.77
Cd 0.0000 0.5000 0.0000  2 Bi 2.77
Cd 0.5000 0.0000 0.0000  2 Bi 2.77
Bi 0.0000 0.0000 0.0000  6 Cd 2.77
Pd 0.5000 0.5000 0.5000  12 Cd 3.92

Calculated values
Formation enthalpy at 0 K   95.7 kJ per mole of atoms
D(E_F)   3.71 states/eV/cell


Record 7
Entry from Alexandria via LeMat-Bulk: an optimized crystal structure of Cd2BiPd2 (GGA-PBEsol).

a b c (Å): 7.6904 7.6904 3.2455
angles (deg): 90.00 90.00 90.00
With the nearest neighbours (Å) after each atom.
Atoms (fractional coordinates):
Cd 0.1541 0.3459 0.0000  6 Pd 2.77-2.78
Cd 0.3459 0.8459 0.0000  6 Pd 2.77-2.78
Cd 0.6541 0.1541 0.0000  6 Pd 2.77-2.78
Cd 0.8459 0.6541 0.0000  6 Pd 2.77-2.78
Bi 0.0000 0.0000 0.5000  4 Pd 2.97, 2 Bi 3.25
Bi 0.5000 0.5000 0.5000  4 Pd 2.97, 2 Bi 3.25
Pd 0.1395 0.6395 0.5000  6 Cd 2.77-2.78, 2 Bi 2.97, 1 Pd 3.04
Pd 0.3605 0.1395 0.5000  6 Cd 2.77-2.78, 2 Bi 2.97, 1 Pd 3.04
Pd 0.6395 0.8605 0.5000  6 Cd 2.77-2.78, 2 Bi 2.97, 1 Pd 3.04
Pd 0.8605 0.3605 0.5000  6 Cd 2.77-2.78, 2 Bi 2.97, 1 Pd 3.04

Calculated values
Formation enthalpy at 0 K   -25.6 kJ per mole of atoms
D(E_F)   3.71 states/eV/cell


Record 8
Entry from Alexandria via LeMat-Bulk: an optimized crystal structure of Cd2BiPt2 (GGA-PBEsol).

a b c (Å): 7.9485 7.9485 3.0662
angles (deg): 90.00 90.00 90.00
With the nearest neighbours (Å) after each atom.
Atoms (fractional coordinates):
Cd 0.1352 0.3648 0.0000  6 Pt 2.75-2.82, 3 Cd 3.04-3.07
Cd 0.3648 0.8648 0.0000  6 Pt 2.75-2.82, 3 Cd 3.04-3.07
Cd 0.6352 0.1352 0.0000  6 Pt 2.75-2.82, 3 Cd 3.04-3.07
Cd 0.8648 0.6352 0.0000  6 Pt 2.75-2.82, 3 Cd 3.04-3.07
Bi 0.0000 0.0000 0.5000  4 Pt 2.98, 2 Bi 3.07
Bi 0.5000 0.5000 0.5000  4 Pt 2.98, 2 Bi 3.07
Pt 0.1612 0.6612 0.5000  6 Cd 2.75-2.82, 2 Bi 2.98, 2 Pt 3.07
Pt 0.3388 0.1612 0.5000  6 Cd 2.75-2.82, 2 Bi 2.98, 2 Pt 3.07
Pt 0.6612 0.8388 0.5000  6 Cd 2.75-2.82, 2 Bi 2.98, 2 Pt 3.07
Pt 0.8388 0.3388 0.5000  6 Cd 2.75-2.82, 2 Bi 2.98, 2 Pt 3.07

Calculated values
Formation enthalpy at 0 K   -18.8 kJ per mole of atoms
D(E_F)   3.54 states/eV/cell


Total DFT energy (no corrections), respectively: -2.812 -2.759 -1.745 -5.561 -4.011 -1.775 -3.984 -4.317 eV per atom.